This record from the Alexandria database describes LiMg2NpS4 after structural relaxation. The functional is PBE.

Its total energy is -5.666 eV per atom. The value obtained for the volume is 154.8 Å³/f.u. Its crystal system is monoclinic. Its density of states at the Fermi level is 8.21 states/eV/f.u. The value obtained for the magnetic moment is 4.0 μB/f.u.

It has space group P2/m (No. 10), with a = 6.524 Å, b = 3.797 Å, c = 6.586 Å, α = 90.00°, β = 108.39° and γ = 90.00°. The distinct sites, in fractional coordinates, are Li at (0.000, 0.000, 0.000), Mg at (0.000, 0.500, 0.500), Mg at (0.500, 0.000, 0.500), Np at (0.500, 0.500, 0.000), S at (0.237, 0.000, 0.737) and S at (0.254, 0.500, 0.266).

This record from the Alexandria database describes RbTm4Cl12 after structural relaxation. The functional is PBE.

Its total energy is -4.552 eV per atom. The value obtained for the volume is 529.9 Å³/f.u. Its crystal system is orthorhombic. Its density of states at the Fermi level is 6.06 states/eV/f.u. The value obtained for the magnetic moment is 0.0 μB/f.u.

It has space group Immm (No. 71), with a = 10.189 Å, b = 10.196 Å, c = 10.202 Å, α = 90.00°, β = 90.00° and γ = 90.00°. The distinct sites, in fractional coordinates, are Rb at (0.000, 0.000, 0.000), Tm at (0.250, 0.250, 0.250), Cl at (0.000, 0.287, 0.200), Cl at (0.199, 0.000, 0.285) and Cl at (0.213, 0.299, 0.500).

This record from the Alexandria database describes Tm2Mg3Ag2 after structural relaxation. The functional is PBE.

The value obtained for the volume is 164.6 Å³/f.u. Its crystal system is monoclinic. The energy relative to the lowest polymorph listed for this composition comes out at 36 meV per atom. Its density of states at the Fermi level is 3.84 states/eV/f.u. As for the formation energy: -0.178 eV per atom. The value obtained for the magnetic moment is 0.0 μB/f.u.

It has space group C2/m (No. 12), with a = 10.697 Å, b = 3.993 Å, c = 7.753 Å, α = 90.00°, β = 96.09° and γ = 90.00°. The distinct sites, in fractional coordinates, are Tm at (0.127, 0.000, 0.356), Mg at (0.000, 0.500, 0.000), Mg at (0.191, 0.000, 0.868) and Ag at (0.090, 0.500, 0.648).

Repeat the first record exactly.
This record from the Alexandria database describes LiMg2NpS4 after structural relaxation. The functional is PBE.

Its total energy is -5.666 eV per atom. The value obtained for the volume is 154.8 Å³/f.u. Its crystal system is monoclinic. Its density of states at the Fermi level is 8.21 states/eV/f.u. The value obtained for the magnetic moment is 4.0 μB/f.u.

It has space group P2/m (No. 10), with a = 6.524 Å, b = 3.797 Å, c = 6.586 Å, α = 90.00°, β = 108.39° and γ = 90.00°. The distinct sites, in fractional coordinates, are Li at (0.000, 0.000, 0.000), Mg at (0.000, 0.500, 0.500), Mg at (0.500, 0.000, 0.500), Np at (0.500, 0.500, 0.000), S at (0.237, 0.000, 0.737) and S at (0.254, 0.500, 0.266).

Q: The highest magnetic moment belongs to which entry?
A: LiMg2NpS4

Q: magnetic moment of number 3 (Tm2Mg3Ag2)?
A: 0.0 μB/f.u.